Density functional theory data (PBE) for LiLaDyY after structural relaxation.

Values from the calculation:
SG	F-43m
theoretical density	5.33	g cm⁻³
formation energy from the elements	0.169	eV per atom

Lattice parameters (Å, degrees): 5.592 5.592 5.592 60.00 60.00 60.00
Positions (direct):
1 Li 0.000 0.000 0.000
2 La 0.750 0.750 0.750
3 Dy 0.500 0.500 0.500
4 Y 0.250 0.250 0.250